This record from Alexandria via LeMat-Bulk describes crystalline Zr3Co7Ni2 at its relaxed geometry. The functional is PBE.

```
12
Lattice="2.402 1.387 8.016 -2.402 1.387 8.016 0.000 -2.773 8.016" Properties=species:S:1:pos:R:3 pbc="T T T"
Zr 0.000 0.000 0.000
Zr 0.000 0.000 3.329
Zr 0.000 0.000 20.718
Co -1.209 -0.698 10.016
Co 0.000 -1.396 14.030
Co -1.209 0.698 14.030
Co 0.000 0.000 12.023
Co 1.209 -0.698 10.016
Co 0.000 1.396 10.016
Co 1.209 0.698 14.030
Ni 0.000 0.000 8.032
Ni 0.000 0.000 16.015
```

Its crystal system is trigonal. For the formation energy, the calculation gives -0.29 eV/atom. The total energy is -7.54 eV/atom.